Compound: K3Pu2CrO9
Source: Alexandria via LeMat-Bulk
Functional: PBE+U
Structure: optimized geometry

Cell lengths 5.8446, 5.8446, 7.1898 Å; angles 90.00, 90.00, 120.00 degrees
Space group P-3m1 (No. 164)
Inequivalent atoms, fractional coordinates:
K 0.0000 0.0000 0.0000 x1
K 0.3333 0.6667 0.6620 x2
Pu 0.3333 0.6667 0.1793 x2
Cr 0.0000 0.0000 0.5000 x1
O 0.0000 0.5000 0.0000 x3
O 0.1648 0.3297 0.3353 x6

## Properties
Theoretical density   6.3 g/cm3
Calculated total energy   -117.92 eV per cell